(1)
Below is crystalline CaTbPrNd at its relaxed geometry, with properties calculated at the PBE-GGA level.

Energy relative to the lowest polymorph listed for this composition in eV/atom: 0.000
Magnetization in μB/atom: 0.00
Formation energy in eV/atom: 0.0397
D(E_F) in states/eV per cell: 5.78
E in eV per atom: -4.01

Cell: 3.6801 3.6801 10.5996 Å, 90.00 90.00 90.00°
With the nearest neighbours (Å) after each atom.
Space group P4mm (No. 99)
Asymmetric unit:
Ca1 0.0000 0.0000 0.0000 x1  4 Ca 3.68, 4 Nd 3.82, 4 Pr 3.84
Tb1 0.0000 0.0000 0.5027 x1  4 Nd 3.59, 4 Pr 3.61, 4 Tb 3.68
Pr1 0.5000 0.5000 0.2667 x1  4 Tb 3.61, 4 Pr 3.68, 4 Ca 3.84
Nd1 0.5000 0.5000 0.7356 x1  4 Tb 3.59, 4 Nd 3.68, 4 Ca 3.82

(2)
Below is crystalline CaTb2Pr6Nd at its relaxed geometry, with properties calculated at the PBE-GGA level.

Magnetization in μB/atom: 0.00
Formation energy in eV/atom: 0.1248
D(E_F) in states/eV per cell: 61.09
E in eV per atom: -4.35

Cell: 9.3355 15.6294 9.9992 Å, 90.00 98.31 90.00°
With the nearest neighbours (Å) after each atom.
Space group C2/c (No. 15)
Asymmetric unit:
Ca1 0.0000 0.0976 0.2500 x4  6 Pr 3.61-3.70, 2 Tb 3.69
Tb1 0.2479 0.4505 0.0448 x8  6 Pr 3.36-3.70, 2 Nd 3.49-3.52, 1 Ca 3.69
Pr1 0.0632 0.3245 0.4478 x8  5 Pr 3.47-3.88, 1 Tb 3.52, 1 Nd 3.73
Pr2 0.1020 0.1063 0.6212 x8  3 Pr 3.32-3.47, 3 Tb 3.36-3.54, 2 Ca 3.62-3.70
Pr3 0.2038 0.2705 0.8228 x8  2 Pr 3.32-3.58, 2 Tb 3.57-3.70, 1 Ca 3.61, 1 Nd 3.71
Nd1 0.0000 0.4731 0.7500 x4  4 Tb 3.49-3.52, 4 Pr 3.71-3.73

(3)
Below is crystalline CaTb3Pr2Nd6 at its relaxed geometry, with properties calculated at the PBE-GGA level.

Magnetization in μB/atom: 0.00
Formation energy in eV/atom: 0.0249
D(E_F) in states/eV per cell: 28.72
E in eV per atom: -4.48

Cell: 6.3601 11.0192 12.1124 Å, 90.00 100.03 90.00°
With the nearest neighbours (Å) after each atom.
Space group C2/m (No. 12)
Asymmetric unit:
Ca1 0.0000 0.0000 0.0000 x2  6 Pr 3.67, 6 Nd 3.74
Tb1 0.0000 0.1659 0.5000 x4  6 Nd 3.59-3.61, 6 Tb 3.66-3.68
Tb2 0.0000 0.5000 0.5000 x2  6 Nd 3.58-3.61, 6 Tb 3.67-3.68
Pr1 0.0000 0.3329 0.0000 x4  3 Pr 3.67-3.68, 3 Ca 3.67, 6 Nd 3.71-3.72
Nd1 0.2450 0.3311 0.7439 x8  3 Tb 3.59-3.61, 6 Nd 3.65-3.72, 2 Pr 3.71, 1 Ca 3.74
Nd2 0.2485 0.5000 0.2569 x4  3 Tb 3.58-3.60, 6 Nd 3.65-3.72, 2 Pr 3.72, 1 Ca 3.74

(4)
Below is crystalline CaTbPr2Nd4 at its relaxed geometry, with properties calculated at the PBE-GGA level.

Magnetization in μB/atom: 0.00
Formation energy in eV/atom: 0.0350
D(E_F) in states/eV per cell: 44.68
E in eV per atom: -4.37

Cell: 12.8150 7.3652 12.8122 Å, 90.00 109.59 90.00°
With the nearest neighbours (Å) after each atom.
Space group C2/m (No. 12)
Asymmetric unit:
Ca1 0.2500 0.2500 0.0000 x4  2 Ca 3.68, 2 Tb 3.70, 2 Pr 3.70, 6 Nd 3.73-3.76
Tb1 0.0000 0.0000 0.0000 x2  2 Pr 3.68, 6 Nd 3.69-3.72, 4 Ca 3.70
Tb2 0.0000 0.0000 0.5000 x2  6 Nd 3.65-3.70, 6 Pr 3.68-3.70
Pr1 0.0000 0.5000 0.0000 x2  2 Tb 3.68, 6 Nd 3.69-3.74, 4 Ca 3.70
Pr2 0.0000 0.5000 0.5000 x2  6 Nd 3.67-3.70, 2 Tb 3.68, 4 Pr 3.70
Pr3 0.2500 0.2500 0.5000 x4  6 Nd 3.63-3.66, 4 Pr 3.68-3.70, 2 Tb 3.70
Nd1 0.0035 0.2492 0.2507 x8  6 Nd 3.63-3.76, 3 Pr 3.66-3.70, 2 Tb 3.69-3.70, 1 Ca 3.73
Nd2 0.2492 0.0000 0.2541 x4  6 Nd 3.63-3.76, 3 Pr 3.65-3.67, 1 Tb 3.72, 2 Ca 3.74
Nd3 0.2498 0.0000 0.7443 x4  3 Pr 3.63-3.74, 6 Nd 3.64-3.75, 1 Tb 3.65, 2 Ca 3.76

(5)
Below is crystalline CaTbPrNd at its relaxed geometry, with properties calculated at the PBE-GGA level.

Energy relative to the lowest polymorph listed for this composition in eV/atom: 0.079
Magnetization in μB/atom: 0.00
Formation energy in eV/atom: 0.1185
D(E_F) in states/eV per cell: 27.99
E in eV per atom: -3.93

Cell: 8.3063 8.3063 8.3063 Å, 90.00 90.00 90.00°
With the nearest neighbours (Å) after each atom.
Space group F-43m (No. 216)
Asymmetric unit:
Ca1 0.0000 0.0000 0.0000 x4  4 Pr 3.60, 4 Nd 3.60
Tb1 0.0000 0.0000 0.5000 x4  4 Pr 3.60, 4 Nd 3.60
Pr1 0.2500 0.2500 0.7500 x4  4 Ca 3.60, 4 Tb 3.60
Nd1 0.2500 0.2500 0.2500 x4  4 Tb 3.60, 4 Ca 3.60

(6)
Below is crystalline CaTbPr6Nd2 at its relaxed geometry, with properties calculated at the PBE-GGA level.

Magnetization in μB/atom: 0.00
Formation energy in eV/atom: 0.1199
D(E_F) in states/eV per cell: 60.75
E in eV per atom: -4.36

Cell: 9.3056 15.7344 10.0711 Å, 90.00 99.29 90.00°
With the nearest neighbours (Å) after each atom.
Space group C2/c (No. 15)
Asymmetric unit:
Ca1 0.0000 0.0981 0.2500 x4  8 Pr 3.63-4.05, 2 Nd 3.68
Tb1 0.0000 0.4772 0.7500 x4  4 Nd 3.47-3.55, 4 Pr 3.70-3.72
Pr1 0.0582 0.3229 0.4477 x8  5 Pr 3.47-3.86, 1 Nd 3.52, 1 Tb 3.72
Pr2 0.1089 0.1069 0.6231 x8  3 Pr 3.33-3.51, 3 Nd 3.35-3.53, 1 Ca 3.67
Pr3 0.1972 0.2740 0.8223 x8  5 Pr 3.33-3.72, 1 Nd 3.55, 1 Ca 3.63, 1 Tb 3.70
Nd1 0.2502 0.0487 0.9575 x8  5 Pr 3.35-3.55, 2 Tb 3.47-3.55, 1 Ca 3.68

(7)
Below is crystalline CaTb2PrNd6 at its relaxed geometry, with properties calculated at the PBE-GGA level.

Magnetization in μB/atom: 0.00
Formation energy in eV/atom: 0.1278
D(E_F) in states/eV per cell: 59.99
E in eV per atom: -4.34

Cell: 9.2810 15.5676 9.9563 Å, 90.00 98.08 90.00°
With the nearest neighbours (Å) after each atom.
Space group C2/c (No. 15)
Asymmetric unit:
Ca1 0.0000 0.0972 0.2500 x4  6 Nd 3.60-3.69, 2 Tb 3.68
Tb1 0.2494 0.4496 0.0445 x8  6 Nd 3.36-3.67, 2 Pr 3.49-3.51, 1 Ca 3.68
Pr1 0.0000 0.4736 0.7500 x4  4 Tb 3.49-3.51, 4 Nd 3.71-3.73
Nd1 0.0633 0.3230 0.4477 x8  4 Nd 3.45-3.77, 1 Tb 3.52, 1 Pr 3.73
Nd2 0.1022 0.1071 0.6214 x8  3 Nd 3.29-3.45, 3 Tb 3.36-3.53, 1 Ca 3.60
Nd3 0.2034 0.2701 0.8233 x8  3 Nd 3.29-3.69, 2 Tb 3.55-3.67, 1 Ca 3.60

(8)
Below is crystalline Ca3Pr2NdTe6 at its relaxed geometry, with properties calculated at the PBE-GGA level.

Formation energy without anion corrections in meV/atom: -1520
Magnetization in μB/atom: 0.00
D(E_F) in states/eV per cell: 10.46
E in eV per atom: -4.79

Cell: 19.8108 4.4707 9.1018 Å, 90.00 104.92 90.00°
With the nearest neighbours (Å) after each atom.
Space group C2/m (No. 12)
Asymmetric unit:
Ca1 0.0000 0.0000 0.0000 x2  6 Te 3.15-3.17
Ca2 0.1672 0.5000 0.3337 x4  6 Te 3.15-3.17
Pr1 0.1672 0.5000 0.8347 x4  6 Te 3.22-3.23
Nd1 0.0000 0.0000 0.5000 x2  6 Te 3.21
Te1 0.0017 0.5000 0.2479 x4  3 Ca 3.17, 2 Nd 3.21, 1 Pr 3.23
Te2 0.1647 0.0000 0.0882 x4  3 Ca 3.15, 3 Pr 3.22
Te3 0.1674 0.0000 0.5790 x4  3 Ca 3.16-3.17, 1 Nd 3.21, 2 Pr 3.23